Compound: PbW2O
Source: Alexandria
Functional: PBE with a Hubbard U
Structure: optimized geometry

a = 4.575 Å, b = 4.575 Å, c = 4.575 Å
α = 60.00°, β = 60.00°, γ = 60.00°
Fractional positions:
Pb: 0.000 0.000 0.000
W: 0.250 0.250 0.250
W: 0.750 0.750 0.750
O: 0.500 0.500 0.500

Results
Magnetization in μB/f.u.: 1.99
Offset from the most stable computed form in eV per formula unit: 4.30
Symmetry: Fm-3m, No. 225
D(E_F) in states/eV per atom: 0.54